No. 1
This record from Alexandria describes an optimized crystal structure of TbBeCu2. The functional is PBE.

extended XYZ file:
```
4
Lattice="-1.187 3.447 1.689 -0.104 0.345 4.002 3.987 2.794 1.880" Properties=species:S:1:pos:R:3 pbc="T T T"
Be 1.348 3.293 3.785
Tb 0.000 0.000 0.000
Cu 1.360 4.711 5.681
Cu 1.336 1.876 1.890
```

Properties
Crystal system: trigonal
DOS at the Fermi energy in states/eV per cell: 2.53
E_tot in eV/f.u.: -17.148

No. 2
This record from Alexandria describes an optimized crystal structure of KBa2NaLi. The functional is PBE.

extended XYZ file:
```
5
Lattice="-5.350 -3.536 -2.427 -2.090 -1.238 6.412 -3.321 5.093 -0.099" Properties=species:S:1:pos:R:3 pbc="T T T"
Na -1.660 2.546 -0.050
K -5.381 0.159 1.943
Ba -1.045 -0.619 3.206
Ba -2.675 -1.768 -1.213
Li 0.000 0.000 0.000
```

Properties
Crystal system: tetragonal
DOS at the Fermi energy in states/eV per cell: 5.53
E_tot in eV/f.u.: -7.316

No. 3
This record from Alexandria describes an optimized crystal structure of Tb2Pm5Nd5. The functional is PBE.

extended XYZ file:
```
12
Lattice="-4.873 -3.183 -0.192 4.666 -1.546 -4.469 3.257 -5.632 10.689" Properties=species:S:1:pos:R:3 pbc="T T T"
Tb 2.683 -4.517 6.795
Tb 0.367 -5.844 -0.767
Pm -0.808 -4.407 5.249
Pm -1.491 -2.955 -1.500
Pm -1.309 -3.436 1.856
Pm 4.358 -6.925 4.173
Pm 4.540 -7.406 7.529
Nd 2.361 -3.813 3.292
Nd 1.161 -7.467 5.996
Nd 1.888 -2.893 0.033
Nd 0.689 -6.548 2.737
Nd 0.000 0.000 0.000
```

Properties
Crystal system: monoclinic
DOS at the Fermi energy in states/eV per cell: 18.40
E above lowest polymorph in kJ/mol of atoms: 6.8
E_tot in eV/f.u.: -55.840

No. 4
This record from Alexandria describes an optimized crystal structure of InHgBi4. The functional is PBE.

extended XYZ file:
```
6
Lattice="-6.603 -0.019 0.506 -2.879 -1.734 5.706 -3.051 4.572 3.692" Properties=species:S:1:pos:R:3 pbc="T T T"
In -3.133 0.705 2.476
Bi -6.307 -0.537 4.340
Bi -6.394 2.637 3.326
Bi -7.843 1.765 6.198
Bi -4.520 1.774 5.944
Hg 0.000 0.000 0.000
```

Properties
Crystal system: cubic
DOS at the Fermi energy in states/eV per cell: 4.38
E above lowest polymorph in kJ/mol of atoms: 13.5
E_tot in eV/f.u.: -17.611

No. 5
This record from Alexandria describes an optimized crystal structure of SiSbRh2C. The functional is PBE.

extended XYZ file:
```
5
Lattice="-3.135 0.117 3.066 -3.535 -1.180 -3.570 0.620 -4.269 0.797" Properties=species:S:1:pos:R:3 pbc="T T T"
Sb -1.768 -0.590 -1.785
Si 0.000 0.000 0.000
Rh 0.310 -2.134 0.398
Rh -1.568 0.058 1.533
C -3.025 -2.666 0.146
```

Properties
Crystal system: tetragonal
DOS at the Fermi energy in states/eV per cell: 4.22
E above lowest polymorph in kJ/mol of atoms: 1.3
E_form (uncorrected) in eV/atom: 1.678
E_tot in eV/f.u.: -25.081

No. 6
This record from Alexandria describes an optimized crystal structure of PrBPt3. The functional is PBE.

extended XYZ file:
```
5
Lattice="-0.649 -0.668 -3.953 2.365 -3.297 0.169 -4.080 -2.868 1.155" Properties=species:S:1:pos:R:3 pbc="T T T"
Pr -4.007 -2.816 1.134
B -1.948 -3.955 -1.098
Pt -0.863 -3.086 0.664
Pt 0.450 -2.270 -1.776
Pt -2.370 -1.772 -1.397
```

Properties
Crystal system: tetragonal
DOS at the Fermi energy in states/eV per cell: 0.76
E_tot in eV/f.u.: -33.928

No. 7
This record from Alexandria describes an optimized crystal structure of PmY3Er5. The functional is PBE.

extended XYZ file:
```
18
Lattice="-5.336 -5.726 -5.611 -0.447 -3.493 -8.963 4.357 -10.415 -0.583" Properties=species:S:1:pos:R:3 pbc="T T T"
Pm 2.151 -11.610 -8.942
Pm -3.577 -8.024 -6.216
Y 0.000 0.000 0.000
Y 1.289 -6.166 -6.111
Y 2.179 -5.208 -0.292
Y -2.715 -13.468 -9.047
Y 0.295 -12.823 -4.227
Y -1.721 -6.811 -10.931
Er -0.144 -12.658 -7.368
Er -0.445 -16.810 -9.577
Er -1.972 -5.715 -4.273
Er -0.981 -2.824 -5.581
Er -3.601 -9.611 -9.244
Er -1.282 -6.976 -7.790
Er -0.770 -10.756 -10.556
Er -0.656 -8.878 -4.602
Er 2.175 -10.023 -5.914
Er 0.546 -13.919 -10.885
```

Properties
Crystal system: monoclinic
DOS at the Fermi energy in states/eV per cell: 24.69
E_tot in eV/f.u.: -44.177

No. 8
This record from Alexandria describes an optimized crystal structure of SrMnP2Ru. The functional is PBE.

extended XYZ file:
```
5
Lattice="3.930 0.000 0.000 0.000 3.930 0.000 -1.965 -1.965 5.876" Properties=species:S:1:pos:R:3 pbc="T T T"
Sr 0.000 0.000 0.000
Mn 0.000 1.965 2.938
P 1.965 1.965 1.716
P 0.000 0.000 4.160
Ru 1.965 0.000 2.938
```

Properties
Crystal system: tetragonal
DOS at the Fermi energy in states/eV per cell: 3.09
E_tot in eV/f.u.: -35.004

No. 9
This record from Alexandria describes an optimized crystal structure of La2Y3ScTe6. The functional is PBE.

extended XYZ file:
```
12
Lattice="-1.544 3.825 1.496 3.307 -1.803 8.027 7.980 2.702 -5.105" Properties=species:S:1:pos:R:3 pbc="T T T"
La 6.235 3.784 3.197
La 3.507 0.939 1.221
Y 0.881 1.011 4.761
Y 4.455 4.619 -0.777
Y 5.288 0.104 5.195
Sc -0.772 1.912 0.748
Te 7.998 1.467 4.509
Te 3.527 2.343 4.087
Te 1.745 3.257 -0.091
Te 7.126 6.039 -1.649
Te 2.617 -1.316 6.067
Te 6.215 2.381 0.331
```

Properties
Crystal system: monoclinic
DOS at the Fermi energy in states/eV per cell: 7.67
E_form (uncorrected) in eV/atom: -1.358
E_tot in eV/f.u.: -70.725